Entry 1:
A relaxed Sn2PCO6 crystal, computed with GGA-PBE.

Results
The density of states at the Fermi level is 0.00 states/eV per cell. As for the uncorrected formation energy: -16.312 eV/f.u. For the mass density, the calculation gives 3.7 Mg/m³. For the magnetic moment, the calculation gives 0.0 μB/f.u.

POSCAR file:
```
Sn2PCO6
1.0
4.833 0.000 0.000
0.000 6.072 0.000
-1.792 0.000 22.815
Sn P C O
8 4 4 24
direct
0.243 0.146 0.315 Sn
0.243 0.354 0.815 Sn
0.253 0.632 0.428 Sn
0.253 0.868 0.928 Sn
0.747 0.132 0.072 Sn
0.747 0.368 0.572 Sn
0.757 0.646 0.185 Sn
0.757 0.854 0.685 Sn
0.281 0.238 0.674 P
0.281 0.262 0.174 P
0.719 0.738 0.826 P
0.719 0.762 0.326 P
0.062 0.084 0.479 C
0.062 0.416 0.979 C
0.938 0.584 0.021 C
0.938 0.916 0.521 C
0.003 0.716 0.515 O
0.003 0.784 0.015 O
0.151 0.167 0.115 O
0.151 0.333 0.615 O
0.158 0.012 0.690 O
0.158 0.488 0.190 O
0.221 0.011 0.442 O
0.221 0.489 0.942 O
0.256 0.087 0.222 O
0.256 0.413 0.722 O
0.404 0.693 0.836 O
0.404 0.807 0.336 O
0.596 0.193 0.664 O
0.596 0.307 0.164 O
0.744 0.587 0.278 O
0.744 0.913 0.778 O
0.779 0.511 0.058 O
0.779 0.989 0.558 O
0.842 0.512 0.810 O
0.842 0.988 0.310 O
0.849 0.667 0.385 O
0.849 0.833 0.885 O
0.997 0.216 0.985 O
0.997 0.284 0.485 O
```

Entry 2:
A relaxed ThAg2Pb crystal, computed with GGA-PBE.

Results
The density of states at the Fermi level is 2.19 states/eV per cell. The calculation puts the formation energy at -62 meV/atom. For the mass density, the calculation gives 10.9 Mg/m³. For the magnetic moment, the calculation gives 0.0 μB/f.u.

POSCAR file:
```
ThAg2Pb
1.0
4.639 0.000 0.000
0.000 4.639 0.000
0.000 0.000 4.658
Th Ag Pb
1 2 1
direct
0.000 0.000 0.000 Th
0.000 0.500 0.500 Ag
0.500 0.000 0.500 Ag
0.500 0.500 0.000 Pb
```

Entry 3:
A relaxed Na3AgO crystal, computed with GGA-PBE.

Results
The density of states at the Fermi level is 0.00 states/eV per cell. As for the uncorrected formation energy: -3.345 eV/f.u. The energy above the most stable polymorph in this dataset comes out at 0.0 meV/atom. For the mass density, the calculation gives 3.2 Mg/m³. For the magnetic moment, the calculation gives 0.0 μB/f.u.

POSCAR file:
```
Na3AgO
1.0
4.666 0.000 0.000
0.000 4.666 0.000
0.000 0.000 4.666
Na Ag O
3 1 1
direct
0.000 0.000 0.500 Na
0.000 0.500 0.000 Na
0.500 0.000 0.000 Na
0.500 0.500 0.500 Ag
0.000 0.000 0.000 O
```

Entry 4:
A relaxed K2YRh crystal, computed with GGA-PBE.

Results
The density of states at the Fermi level is 3.74 states/eV per cell. The calculation puts the formation energy at 640 meV/atom. The energy above the most stable polymorph in this dataset comes out at 694.0 meV/atom. For the mass density, the calculation gives 3.6 Mg/m³. For the magnetic moment, the calculation gives 0.8 μB/f.u.

POSCAR file:
```
K2YRh
1.0
3.608 0.000 0.000
0.000 5.765 0.000
0.000 0.000 5.969
K Y Rh
2 1 1
direct
0.000 0.236 0.000 K
0.000 0.764 0.000 K
0.500 0.500 0.500 Y
0.500 0.000 0.500 Rh
```